HoHfSb: optimized geometry, PBE.

## Properties
For the volume, the calculation gives 81.6 Å³/cell. Its space group is F-43m, No. 216. The calculated total energy comes out at -19.05 eV/cell.

a = 4.869 Å, b = 4.869 Å, c = 4.869 Å
α = 60.00°, β = 60.00°, γ = 60.00°
Each line ends with the local moment (μB).
Atoms (fractional coordinates):
Ho1 0.750 0.750 0.750  0.15
Sb1 0.000 0.000 0.000  0.00
Hf1 0.250 0.250 0.250  0.25

---

HoHfSc: optimized geometry, PBE.

## Properties
For the volume, the calculation gives 88.9 Å³/cell. Its space group is F-43m, No. 216. The calculated total energy comes out at -18.17 eV/cell. Its distance to the lowest polymorph of the same formula is 0.00 kJ/mol of atoms.

a = 5.009 Å, b = 5.009 Å, c = 5.009 Å
α = 60.00°, β = 60.00°, γ = 60.00°
Atoms (fractional coordinates):
Sc1 0.750 0.750 0.750
Hf1 0.000 0.000 0.000
Ho1 0.250 0.250 0.250

---

Ho3HfSi4: optimized geometry, PBE.

## Properties
For the volume, the calculation gives 160.7 Å³/cell. Its space group is Pm, No. 6. The calculated total energy comes out at -51.68 eV/cell.

a = 5.561 Å, b = 3.784 Å, c = 7.639 Å
α = 90.00°, β = 90.78°, γ = 90.00°
Atoms (fractional coordinates):
Si1 0.635 0.500 0.550
Ho1 0.879 0.000 0.320
Ho2 0.120 0.500 0.681
Hf1 0.617 0.000 0.819
Ho3 0.384 0.500 0.177
Si2 0.373 0.000 0.467
Si3 0.860 0.500 0.029
Si4 0.132 0.000 0.957